The following is a DFT calculation (PBE-GGA) of an optimized crystal structure of K6Cd.

## Properties
- ΔH_f (0 K) (eV/atom) = 0.37
- volume (A^3/atom) = 114.1
- space-group type = No. 229

Unit cell a=10.1243 b=10.1243 c=10.1243 alpha=109.47 beta=109.47 gamma=109.47
Last column: nearest neighbours and their distance in Å.
Fractional coordinates of all 7 atoms:
Cd: 0.0000 0.0000 0.0000  none within 6
K: 0.5000 0.7500 0.2500  4 K 4.13
K: 0.7500 0.2500 0.5000  4 K 4.13
K: 0.2500 0.7500 0.5000  4 K 4.13
K: 0.2500 0.5000 0.7500  4 K 4.13
K: 0.7500 0.5000 0.2500  4 K 4.13
K: 0.5000 0.2500 0.7500  4 K 4.13